# 1
# PBE+U TiMnP2O8, relaxed
data_TiMnP2O8
_chemical_formula_sum 'Ti2 Mn2 P4 O16'
_cell_length_a 5.006
_cell_length_b 6.040
_cell_length_c 10.118
_cell_angle_alpha 90.00
_cell_angle_beta 90.76
_cell_angle_gamma 90.00
_symmetry_space_group_name_H-M 'P 1'
_symmetry_Int_Tables_number 1
loop_
_symmetry_equiv_pos_as_xyz
'x,y,z'
loop_
_atom_site_label
_atom_site_type_symbol
_atom_site_fract_x
_atom_site_fract_y
_atom_site_fract_z
Ti1 Ti 0.034 0.250 0.220
Ti2 Ti 0.966 0.750 0.780
Mn1 Mn 0.466 0.250 0.727
Mn2 Mn 0.534 0.750 0.273
P1 P 0.056 0.750 0.095
P2 P 0.385 0.750 0.606
P3 P 0.615 0.250 0.394
P4 P 0.944 0.250 0.905
O1 O 0.142 0.750 0.947
O2 O 0.193 0.547 0.167
O3 O 0.193 0.953 0.167
O4 O 0.231 0.556 0.677
O5 O 0.231 0.944 0.677
O6 O 0.244 0.250 0.897
O7 O 0.318 0.250 0.347
O8 O 0.362 0.750 0.459
O9 O 0.638 0.250 0.541
O10 O 0.682 0.750 0.653
O11 O 0.756 0.750 0.103
O12 O 0.769 0.056 0.323
O13 O 0.769 0.444 0.323
O14 O 0.807 0.047 0.833
O15 O 0.807 0.453 0.833
O16 O 0.858 0.250 0.053
# * distance to the lowest polymorph of the same formula: 16.4 meV per atom
# * E_tot: -7.865 eV/atom

=====

# 2
# PBE+U Nb2MoPbO8, relaxed
data_Nb2MoPbO8
_chemical_formula_sum 'Nb2 Mo1 Pb1 O8'
_cell_length_a 5.950
_cell_length_b 5.950
_cell_length_c 6.797
_cell_angle_alpha 90.00
_cell_angle_beta 90.00
_cell_angle_gamma 120.00
_symmetry_space_group_name_H-M 'P 1'
_symmetry_Int_Tables_number 1
loop_
_symmetry_equiv_pos_as_xyz
'x,y,z'
loop_
_atom_site_label
_atom_site_type_symbol
_atom_site_fract_x
_atom_site_fract_y
_atom_site_fract_z
Nb1 Nb 0.333 0.667 0.267
Nb2 Nb 0.667 0.333 0.733
Mo1 Mo 0.000 0.000 0.000
Pb1 Pb 0.000 0.000 0.500
O1 O 0.155 0.842 0.185
O2 O 0.158 0.313 0.185
O3 O 0.313 0.155 0.815
O4 O 0.333 0.667 0.531
O5 O 0.667 0.333 0.469
O6 O 0.687 0.845 0.185
O7 O 0.842 0.687 0.815
O8 O 0.845 0.158 0.815
# * E_tot: -7.891 eV/atom